[1]
First-principles (SCAN) data for CsMoOsAu2 at its PBEsol-relaxed geometry, as listed in the Alexandria database.

a b c (Å): 5.210 5.210 5.050
angles (deg): 90.00 90.00 90.00
Fractional coordinates of all 5 atoms:
Cs 0.000 0.000 0.000
Mo 0.000 0.000 0.500
Os 0.500 0.500 0.500
Au 0.000 0.500 0.000
Au 0.500 0.000 0.000

Values from the calculation:
Magnetic moment in μB/cell: 6.542
Space group: P4/mmm, No. 123
Volume in Å³/atom: 27.41
Formation energy from the elements in kJ per mole of atoms: 329

[2]
First-principles (SCAN) data for CsMo2AuS at its PBEsol-relaxed geometry, as listed in the Alexandria database.

a b c (Å): 4.998 4.998 5.080
angles (deg): 90.00 90.00 90.00
Fractional coordinates of all 5 atoms:
Cs 0.000 0.000 0.000
Mo 0.000 0.500 0.000
Mo 0.500 0.000 0.000
Au 0.500 0.500 0.500
S 0.000 0.000 0.500

Values from the calculation:
Magnetic moment in μB/cell: 6.845
Space group: P4/mmm, No. 123
Formation energy without anion corrections in eV per atom: 3.037
Volume in Å³/atom: 25.38

[3]
First-principles (SCAN) data for CsAuN2 at its PBEsol-relaxed geometry, as listed in the Alexandria database.

a b c (Å): 3.383 3.383 21.612
angles (deg): 90.00 90.00 120.00
Fractional coordinates of all 12 atoms:
Cs 0.000 0.000 0.000
Cs 0.333 0.667 0.667
Cs 0.667 0.333 0.333
Au 0.000 0.000 0.500
Au 0.333 0.667 0.167
Au 0.667 0.333 0.833
N 0.000 0.000 0.126
N 0.000 0.000 0.874
N 0.333 0.667 0.541
N 0.333 0.667 0.793
N 0.667 0.333 0.207
N 0.667 0.333 0.459

Values from the calculation:
Magnetic moment in μB/cell: 0.000
Space group: R-3m, No. 166
Formation energy without anion corrections in eV per atom: 1.227
Volume in Å³/atom: 17.85

[4]
First-principles (SCAN) data for CsAuNO2 at its PBEsol-relaxed geometry, as listed in the Alexandria database.

a b c (Å): 4.426 4.426 3.799
angles (deg): 90.00 90.00 90.00
Fractional coordinates of all 5 atoms:
Cs 0.000 0.000 0.000
Au 0.500 0.500 0.500
N 0.500 0.500 0.000
O 0.000 0.500 0.500
O 0.500 0.000 0.500

Values from the calculation:
Magnetic moment in μB/cell: 2.454
Space group: P4/mmm, No. 123
Formation energy without anion corrections in eV per atom: 0.465
Volume in Å³/atom: 14.88

[5]
First-principles (SCAN) data for CsAuSe2N at its PBEsol-relaxed geometry, as listed in the Alexandria database.

a b c (Å): 5.791 5.791 3.697
angles (deg): 90.00 90.00 90.00
Fractional coordinates of all 5 atoms:
Cs 0.000 0.000 0.000
Au 0.500 0.500 0.500
Se 0.000 0.500 0.500
Se 0.500 0.000 0.500
N 0.500 0.500 0.000

Values from the calculation:
Magnetic moment in μB/cell: 0.001
Space group: P4/mmm, No. 123
Formation energy without anion corrections in eV per atom: 0.519
Volume in Å³/atom: 24.80

[6]
First-principles (SCAN) data for Cs3NaAu at its PBEsol-relaxed geometry, as listed in the Alexandria database.

a b c (Å): 6.897 6.897 6.897
angles (deg): 90.00 90.00 90.00
Fractional coordinates of all 5 atoms:
Cs 0.000 0.000 0.500
Cs 0.000 0.500 0.000
Cs 0.500 0.000 0.000
Na 0.500 0.500 0.500
Au 0.000 0.000 0.000

Values from the calculation:
Magnetic moment in μB/cell: 0.010
Space group: Pm-3m, No. 221
Volume in Å³/atom: 65.61
Formation energy from the elements in kJ per mole of atoms: -15

[7]
First-principles (SCAN) data for Cs2NaAu at its PBEsol-relaxed geometry, as listed in the Alexandria database.

a b c (Å): 12.780 12.780 5.802
angles (deg): 90.00 90.00 90.00
Fractional coordinates of all 16 atoms:
Cs 0.091 0.250 0.125
Cs 0.250 0.591 0.375
Cs 0.250 0.909 0.875
Cs 0.409 0.250 0.625
Cs 0.591 0.750 0.625
Cs 0.750 0.091 0.875
Cs 0.750 0.409 0.375
Cs 0.909 0.750 0.125
Na 0.000 0.000 0.500
Na 0.000 0.500 0.750
Na 0.500 0.000 0.250
Na 0.500 0.500 0.000
Au 0.000 0.000 0.000
Au 0.000 0.500 0.250
Au 0.500 0.000 0.750
Au 0.500 0.500 0.500

Values from the calculation:
Magnetic moment in μB/cell: 0.000
Space group: I-42d, No. 122
Volume in Å³/atom: 59.23
Formation energy from the elements in kJ per mole of atoms: -18

[8]
First-principles (SCAN) data for CsNa3Au at its PBEsol-relaxed geometry, as listed in the Alexandria database.

a b c (Å): 5.818 5.818 5.818
angles (deg): 90.00 90.00 90.00
Fractional coordinates of all 5 atoms:
Cs 0.000 0.000 0.000
Na 0.000 0.500 0.500
Na 0.500 0.000 0.500
Na 0.500 0.500 0.000
Au 0.500 0.500 0.500

Values from the calculation:
Magnetic moment in μB/cell: 0.001
Space group: Pm-3m, No. 221
Volume in Å³/atom: 39.39
Formation energy from the elements in kJ per mole of atoms: -13

Question: The highest magnetic moment belongs to which entry?
Answer: CsMo2AuS

Question: Which value of volume does entry 5 give?
Answer: 24.80 Å³/atom